[1]
A plane-wave DFT calculation with GGA-PBE was carried out for crystalline La3Sm4Y2 at its relaxed geometry.

abc: 15.9806 3.6620 10.9326
angles: 90.00 103.85 90.00
With the nearest neighbours (Å) after each atom.
Space group C2/m (No. 12)
Asymmetric unit:
La1 0.0000 0.0000 0.0000  6 Sm 3.62-3.67, 4 Y 3.64, 2 La 3.66
La2 0.1664 0.5000 0.5543  3 Y 3.64-3.65, 5 Sm 3.65-3.68, 4 La 3.66
Sm1 0.0010 0.0000 0.6693  5 La 3.62-3.68, 5 Sm 3.63-3.69, 2 Y 3.68
Sm2 0.1672 0.5000 0.8901  6 Sm 3.62-3.66, 3 Y 3.62-3.66, 3 La 3.67
Y1 0.1671 0.5000 0.2216  5 Sm 3.62-3.68, 5 La 3.64-3.65, 2 Y 3.66


[2]
A plane-wave DFT calculation with GGA-PBE was carried out for crystalline La4Sm5Y at its relaxed geometry.

abc: 10.7797 10.7797 5.9673
angles: 90.00 90.00 90.00
With the nearest neighbours (Å) after each atom.
Space group P4/nmm (No. 129, origin choice 2)
Asymmetric unit:
La1 0.0486 0.7500 0.1282  1 Sm 3.10, 1 Y 3.22, 2 La 3.43
Sm1 0.0905 0.0905 0.3467  3 Sm 3.31-3.44, 2 La 3.64
Sm2 0.2500 0.7500 0.5000  4 La 3.10
Y1 0.2500 0.2500 0.8550  4 La 3.22

ΔE to the lowest computed polymorph ... 7 meV/atom


[3]
A plane-wave DFT calculation with GGA-PBE was carried out for crystalline La2SmY7 at its relaxed geometry.

abc: 6.6281 29.2562 3.5320
angles: 90.00 90.00 90.00
With the nearest neighbours (Å) after each atom.
Space group Cmmm (No. 65)
Asymmetric unit:
La1 0.0000 0.2054 0.0000  2 La 3.53, 8 Y 3.57-3.80
Sm1 0.0000 0.5000 0.5000  2 Sm 3.53, 12 Y 3.74-3.76
Y1 0.0000 0.0000 0.0000  6 Y 3.33-3.53
Y2 0.0000 0.3145 0.5000  6 Y 3.51-3.53, 6 La 3.65-3.80
Y3 0.2452 0.4020 0.0000  7 Y 3.25-3.53, 1 La 3.57

ΔE to the lowest computed polymorph ... 141 meV/atom


[4]
A plane-wave DFT calculation with GGA-PBE was carried out for crystalline LaSm2Y9 at its relaxed geometry.

abc: 5.0865 5.0865 15.2712
angles: 90.00 90.00 90.00
With the nearest neighbours (Å) after each atom.
Space group P4/mmm (No. 123)
Asymmetric unit:
La1 0.0000 0.0000 0.0000  12 Y 3.60-3.63
Sm1 0.0000 0.0000 0.3338  12 Y 3.58-3.60
Y1 0.0000 0.5000 0.1692  2 Sm 3.58, 8 Y 3.59-3.63, 2 La 3.63
Y2 0.0000 0.5000 0.5000  8 Y 3.58-3.60, 4 Sm 3.59
Y3 0.5000 0.5000 0.0000  4 La 3.60, 8 Y 3.63
Y4 0.5000 0.5000 0.3348  8 Y 3.58-3.59, 4 Sm 3.60


[5]
A plane-wave DFT calculation with GGA-PBE was carried out for crystalline La2Sm7Y2 at its relaxed geometry.

abc: 9.7383 9.4307 8.5378
angles: 90.00 102.58 90.00
With the nearest neighbours (Å) after each atom.
Space group C2/m (No. 12)
Asymmetric unit:
La1 0.1082 0.0000 0.3556  7 Sm 3.17-3.51
Sm1 0.0000 0.5000 0.5000  4 Sm 3.60, 2 La 3.75
Sm2 0.1930 0.0000 0.0175  1 La 3.17, 2 Sm 3.41, 4 Y 3.49-3.50
Sm3 0.2010 0.2010 0.6877  3 La 3.37-3.51, 3 Sm 3.41-3.66, 1 Y 3.50
Y1 0.0000 0.3132 0.0000  8 Sm 3.49-3.79, 1 Y 3.52

ΔE to the lowest computed polymorph ... 150 meV/atom


[6]
A plane-wave DFT calculation with GGA-PBE was carried out for crystalline La2Sm6Y at its relaxed geometry.

abc: 3.6521 3.6521 27.0776
angles: 90.00 90.00 120.00
With the nearest neighbours (Å) after each atom.
Space group P-6m2 (No. 187)
Asymmetric unit:
La1 0.0000 0.0000 0.1712  6 Sm 3.62-3.76, 6 La 3.65
Sm1 0.0000 0.0000 0.3933  3 Y 3.58, 9 Sm 3.58-3.65
Sm2 0.6667 0.3333 0.0624  7 Sm 3.38-3.65, 3 La 3.62
Sm3 0.6667 0.3333 0.2863  9 Sm 3.58-3.65, 3 La 3.76
Y1 0.6667 0.3333 0.5000  6 Sm 3.58, 6 Y 3.65

ΔE to the lowest computed polymorph ... 0 meV/atom


Number 1: calculated volume 621 Å³ per cell, DFT formation energy 19 meV/atom. Number 2: calculated volume 693 Å³ per cell, DFT formation energy 165 meV/atom. Number 3: calculated volume 685 Å³ per cell, DFT formation energy 164 meV/atom. Number 4: calculated volume 395 Å³ per cell, DFT formation energy 26 meV/atom. Number 5: calculated volume 765 Å³ per cell, DFT formation energy 169 meV/atom. Number 6: calculated volume 313 Å³ per cell, DFT formation energy 62 meV/atom.